Entry 1:
NdO2 | PBE | optimized geometry

* total magnetization: 1.0 μB/cell
* crystal system: cubic
* uncorrected energy: -7.4859 eV/atom

a b c (Å): 4.012 4.012 4.012
angles (deg): 60.00 60.00 60.00
Site moments in Bohr magnetons follow the coordinates.
Element x y z (fractional)
O (0.250, 0.250, 0.250)  0.43
O (0.750, 0.750, 0.750)  0.43
Nd (0.000, 0.000, 0.000)  -0.02

=====

Entry 2:
Nd2O3 | PBE | optimized geometry

* total magnetization: 0.0 μB/cell
* crystal system: cubic
* uncorrected energy: -8.2444 eV/atom

a b c (Å): 9.682 9.682 9.682
angles (deg): 109.47 109.47 109.47
Element x y z (fractional)
O (0.960, 0.729, 0.988)
O (0.731, 0.259, 0.771)
O (0.269, 0.741, 0.229)
O (0.771, 0.731, 0.259)
O (0.759, 0.028, 0.488)
O (0.271, 0.012, 0.040)
O (0.729, 0.988, 0.960)
O (0.472, 0.231, 0.460)
O (0.769, 0.540, 0.528)
O (0.460, 0.472, 0.231)
O (0.540, 0.528, 0.769)
O (0.988, 0.960, 0.729)
O (0.512, 0.241, 0.972)
O (0.040, 0.271, 0.012)
O (0.259, 0.771, 0.731)
O (0.741, 0.229, 0.269)
O (0.241, 0.972, 0.512)
O (0.528, 0.769, 0.540)
O (0.229, 0.269, 0.741)
O (0.972, 0.512, 0.241)
O (0.488, 0.759, 0.028)
O (0.028, 0.488, 0.759)
O (0.231, 0.460, 0.472)
O (0.012, 0.040, 0.271)
Nd (0.031, 0.750, 0.781)
Nd (0.750, 0.281, 0.531)
Nd (0.250, 0.719, 0.469)
Nd (0.969, 0.250, 0.219)
Nd (0.469, 0.250, 0.719)
Nd (0.719, 0.469, 0.250)
Nd (0.531, 0.750, 0.281)
Nd (0.250, 0.219, 0.969)
Nd (0.000, 0.000, 0.500)
Nd (0.000, 0.500, 0.000)
Nd (0.781, 0.031, 0.750)
Nd (0.750, 0.781, 0.031)
Nd (0.281, 0.531, 0.750)
Nd (0.219, 0.969, 0.250)
Nd (0.500, 0.500, 0.500)
Nd (0.500, 0.000, 0.000)

=====

Entry 3:
Nd2O | PBE | optimized geometry

* total magnetization: 0.0 μB/cell
* crystal system: monoclinic
* uncorrected energy: -6.0074 eV/atom

a b c (Å): 3.196 3.196 6.758
angles (deg): 103.73 103.73 90.15
Element x y z (fractional)
Nd (0.877, 0.877, 0.754)
Nd (0.123, 0.123, 0.246)
O (0.500, 0.500, 0.000)

=====

Entry 4:
Nd2O3 | PBE | optimized geometry

* total magnetization: 0.5 μB/cell
* crystal system: orthorhombic
* uncorrected energy: -7.0594 eV/atom

a b c (Å): 4.482 4.581 4.681
angles (deg): 90.00 90.00 90.00
Site moments in Bohr magnetons follow the coordinates.
Element x y z (fractional)
O (0.000, 0.500, 0.000)  0.21
O (0.500, 0.000, 0.500)  0.00
O (0.000, 0.500, 0.500)  0.25
Nd (0.000, 0.000, 0.000)  -0.01
Nd (0.500, 0.500, 0.500)  -0.01

=====

Entry 5:
Nd3O2 | PBE | optimized geometry

* total magnetization: 0.0 μB/cell
* crystal system: trigonal
* uncorrected energy: -6.9409 eV/atom

a b c (Å): 6.316 6.316 6.847
angles (deg): 62.54 62.54 60.00
Element x y z (fractional)
O (0.336, 0.336, 0.993)
O (0.664, 0.664, 0.007)
O (0.836, 0.836, 0.493)
O (0.164, 0.164, 0.507)
Nd (0.250, 0.579, 0.250)
Nd (0.921, 0.250, 0.250)
Nd (0.079, 0.750, 0.750)
Nd (0.579, 0.921, 0.250)
Nd (0.421, 0.079, 0.750)
Nd (0.750, 0.421, 0.750)

=====

Entry 6:
Nd2O3 | PBE | optimized geometry

* total magnetization: 0.0 μB/cell
* crystal system: monoclinic
* uncorrected energy: -8.2162 eV/atom

a b c (Å): 7.518 7.518 9.058
angles (deg): 80.07 80.07 28.48
Element x y z (fractional)
Nd (0.309, 0.309, 0.138)
Nd (0.366, 0.366, 0.489)
Nd (0.033, 0.033, 0.188)
Nd (0.967, 0.967, 0.812)
Nd (0.634, 0.634, 0.511)
Nd (0.691, 0.691, 0.862)
O (0.825, 0.825, 0.973)
O (0.797, 0.797, 0.626)
O (0.527, 0.527, 0.344)
O (0.203, 0.203, 0.374)
O (0.129, 0.129, 0.715)
O (0.473, 0.473, 0.656)
O (0.871, 0.871, 0.285)
O (0.500, 0.500, 0.000)
O (0.175, 0.175, 0.027)